This record from the Alexandria database describes a geometry-optimized Cr2CdCu structure. The functional is GGA-PBE.

Computed properties:
For the energy of formation from the pure elements, the calculation gives 0.8603 eV/atom.

abc: 3.529 3.529 10.010
angles: 79.85 79.85 90.00
Sites, in units of the cell vectors:
1 Cr 0.570 0.125 0.250
2 Cr 0.180 0.625 0.250
3 Cr 0.375 0.430 0.750
4 Cr 0.875 0.820 0.750
5 Cu 0.500 0.500 0.000
6 Cu 0.250 0.750 0.500
7 Cd 0.000 0.000 0.000
8 Cd 0.750 0.250 0.500

=====

This record from the Alexandria database describes a geometry-optimized YTh3Sb4 structure. The functional is GGA-PBE.

Computed properties:
The uncorrected formation energy comes out at -0.972 eV/atom. For the energy above the most stable polymorph in this dataset, the calculation gives 0 meV/atom.

abc: 7.771 7.762 8.930
angles: 90.00 90.00 109.26
Sites, in units of the cell vectors:
1 Y 0.750 0.000 0.876
2 Y 0.250 0.000 0.124
3 Sb 0.996 0.247 0.629
4 Sb 0.500 0.244 0.878
5 Sb 0.496 0.247 0.371
6 Sb 0.000 0.244 0.122
7 Sb 0.000 0.756 0.878
8 Sb 0.504 0.753 0.629
9 Sb 0.500 0.756 0.122
10 Sb 0.004 0.753 0.371
11 Th 0.750 0.000 0.375
12 Th 0.250 0.000 0.625
13 Th 0.750 0.500 0.625
14 Th 0.750 0.500 0.125
15 Th 0.250 0.500 0.375
16 Th 0.250 0.500 0.875

=====

This record from the Alexandria database describes a geometry-optimized Sr3Ta2O7 structure. The functional is GGA-PBE.

Computed properties:
The uncorrected formation energy comes out at -2.748 eV/atom.

abc: 4.016 4.010 12.915
angles: 98.93 90.00 90.00
Sites, in units of the cell vectors:
1 Sr 0.500 0.500 0.000
2 Sr 0.500 0.663 0.326
3 Sr 0.500 0.337 0.674
4 Ta 0.000 0.918 0.837
5 Ta 0.000 0.082 0.163
6 O 0.000 0.421 0.842
7 O 0.000 0.842 0.683
8 O 0.000 0.000 0.000
9 O 0.000 0.579 0.158
10 O 0.500 0.079 0.158
11 O 0.500 0.921 0.842
12 O 0.000 0.158 0.317

=====

This record from the Alexandria database describes a geometry-optimized CaYMg17 structure. The functional is GGA-PBE.

Computed properties:
For the energy of formation from the pure elements, the calculation gives -0.0252 eV/atom.

abc: 7.828 7.828 7.828
angles: 82.34 82.34 82.34
Sites, in units of the cell vectors:
1 Ca 0.665 0.665 0.665
2 Y 0.330 0.330 0.330
3 Mg 0.301 0.002 0.698
4 Mg 0.698 0.301 0.002
5 Mg 0.002 0.698 0.301
6 Mg 0.301 0.698 0.002
7 Mg 0.002 0.301 0.698
8 Mg 0.698 0.002 0.301
9 Mg 0.352 0.842 0.352
10 Mg 0.352 0.352 0.842
11 Mg 0.842 0.352 0.352
12 Mg 0.647 0.160 0.647
13 Mg 0.647 0.647 0.160
14 Mg 0.160 0.647 0.647
15 Mg 0.003 0.497 0.003
16 Mg 0.003 0.003 0.497
17 Mg 0.497 0.003 0.003
18 Mg 0.900 0.900 0.900
19 Mg 0.101 0.101 0.101

=====

This record from the Alexandria database describes a geometry-optimized Mn2BiS structure. The functional is GGA-PBE.

Computed properties:
The uncorrected formation energy comes out at 0.489 eV/atom. For the energy above the most stable polymorph in this dataset, the calculation gives 0 meV/atom.

abc: 5.690 5.690 6.327
angles: 63.28 63.28 90.00
Sites, in units of the cell vectors:
1 S 0.500 0.500 0.000
2 S 0.250 0.750 0.500
3 Mn 0.551 0.125 0.250
4 Mn 0.199 0.625 0.250
5 Mn 0.375 0.449 0.750
6 Mn 0.875 0.801 0.750
7 Bi 0.000 0.000 0.000
8 Bi 0.750 0.250 0.500

=====

This record from the Alexandria database describes a geometry-optimized ZrNbSi2 structure. The functional is GGA-PBE.

Computed properties:
The uncorrected formation energy comes out at 0.627 eV/atom. For the energy above the most stable polymorph in this dataset, the calculation gives 1363 meV/atom.

abc: 5.951 5.951 7.208
angles: 65.62 65.62 90.00
Sites, in units of the cell vectors:
1 Nb 0.000 0.000 0.000
2 Nb 0.750 0.250 0.500
3 Si 0.647 0.125 0.250
4 Si 0.103 0.625 0.250
5 Si 0.375 0.353 0.750
6 Si 0.875 0.897 0.750
7 Zr 0.500 0.500 0.000
8 Zr 0.250 0.750 0.500

=====

Repeat the fifth record exactly.
This record from the Alexandria database describes a geometry-optimized Mn2BiS structure. The functional is GGA-PBE.

Computed properties:
The uncorrected formation energy comes out at 0.489 eV/atom. For the energy above the most stable polymorph in this dataset, the calculation gives 0 meV/atom.

abc: 5.690 5.690 6.327
angles: 63.28 63.28 90.00
Sites, in units of the cell vectors:
1 S 0.500 0.500 0.000
2 S 0.250 0.750 0.500
3 Mn 0.551 0.125 0.250
4 Mn 0.199 0.625 0.250
5 Mn 0.375 0.449 0.750
6 Mn 0.875 0.801 0.750
7 Bi 0.000 0.000 0.000
8 Bi 0.750 0.250 0.500